Entry 1:
Entry from Alexandria via LeMat-Bulk: a crystal of MgInSeBr2 relaxed with PBEsol (SCAN).

a = 5.316 Å, b = 5.316 Å, c = 5.306 Å
α = 90.00°, β = 90.00°, γ = 90.00°
Element x y z (fractional)
Mg: 0.500 0.500 0.500
Se: 0.000 0.000 0.500
Br: 0.000 0.500 0.000
Br: 0.500 0.000 0.000
In: 0.000 0.000 0.000

Properties
Formation energy without anion corrections (eV per atom): -0.349
Crystal system: tetragonal
Energy (eV/atom): -19.82
Calculated density (Mg/m³): 4.184

Entry 2:
Entry from Alexandria via LeMat-Bulk: a crystal of Sc2PIrPb relaxed with PBEsol (SCAN).

a = 4.746 Å, b = 5.276 Å, c = 5.276 Å
α = 90.00°, β = 90.00°, γ = 90.00°
Last column: magnetic moment on the atom in μB.
Element x y z (fractional)
Pb: 0.000 0.000 0.000  0.00
Sc: 0.000 0.000 0.500  -0.08
Sc: 0.000 0.500 0.000  -0.08
Ir: 0.500 0.500 0.500  1.19
P: 0.500 0.000 0.000  0.07

Properties
Crystal system: tetragonal
Energy relative to the elements (meV per atom): 1294
Energy (eV/atom): -35.86
Calculated density (Mg/m³): 6.541

Entry 3:
Entry from Alexandria via LeMat-Bulk: a crystal of RbZrSc2 relaxed with PBEsol (SCAN).

a = 3.208 Å, b = 3.208 Å, c = 12.601 Å
α = 82.69°, β = 82.69°, γ = 60.00°
Last column: magnetic moment on the atom in μB.
Element x y z (fractional)
Sc: 0.924 0.924 0.228  0.34
Sc: 0.076 0.076 0.772  0.34
Rb: 0.500 0.500 0.500  -0.01
Zr: 0.000 0.000 0.000  0.50

Properties
Crystal system: trigonal
Energy relative to the elements (meV per atom): 684
Energy (eV/atom): -19.29
Calculated density (Mg/m³): 3.985

Entry 4:
Entry from Alexandria via LeMat-Bulk: a crystal of KBa4Mg relaxed with PBEsol (SCAN).

a = 7.792 Å, b = 7.792 Å, c = 7.792 Å
α = 60.00°, β = 60.00°, γ = 60.00°
Last column: magnetic moment on the atom in μB.
Element x y z (fractional)
Ba: 0.374 0.374 0.374  0.19
Ba: 0.374 0.374 0.878  0.19
Ba: 0.878 0.374 0.374  0.19
Ba: 0.374 0.878 0.374  0.19
K: 0.750 0.750 0.750  0.01
Mg: 0.000 0.000 0.000  -0.01

Properties
Crystal system: cubic
Energy relative to the elements (meV per atom): 322
Energy (eV/atom): -28.26
Calculated density (Mg/m³): 3.042

Entry 5:
Entry from Alexandria via LeMat-Bulk: a crystal of EuGe2Ir2 relaxed with PBEsol (SCAN).

a = 4.142 Å, b = 4.142 Å, c = 5.988 Å
α = 110.24°, β = 110.24°, γ = 90.00°
Last column: magnetic moment on the atom in μB.
Element x y z (fractional)
Eu: 0.000 0.000 0.000  -6.78
Ge: 0.624 0.624 0.248  0.01
Ge: 0.376 0.376 0.752  0.01
Ir: 0.250 0.750 0.500  0.03
Ir: 0.750 0.250 0.500  0.03

Properties
Crystal system: tetragonal
Energy relative to the elements (meV per atom): -846
Energy (eV/atom): -47.66
Calculated density (Mg/m³): 12.634

Entry 6:
Entry from Alexandria via LeMat-Bulk: a crystal of BaSc2Ni relaxed with PBEsol (SCAN).

a = 5.083 Å, b = 5.083 Å, c = 5.083 Å
α = 60.00°, β = 60.00°, γ = 60.00°
Last column: magnetic moment on the atom in μB.
Element x y z (fractional)
Ba: 0.500 0.500 0.500  -0.01
Ni: 0.250 0.250 0.250  0.66
Sc: 0.000 0.000 0.000  -0.04
Sc: 0.750 0.750 0.750  0.03

Properties
Crystal system: cubic
Energy relative to the elements (meV per atom): 562
Energy (eV/atom): -20.49
Calculated density (Mg/m³): 5.112

Entry 7:
Entry from Alexandria via LeMat-Bulk: a crystal of Zr2InGa relaxed with PBEsol (SCAN).

a = 4.826 Å, b = 4.826 Å, c = 4.826 Å
α = 60.00°, β = 60.00°, γ = 60.00°
Element x y z (fractional)
Ga: 0.000 0.000 0.000
Zr: 0.250 0.250 0.250
Zr: 0.750 0.750 0.750
In: 0.500 0.500 0.500

Properties
Crystal system: cubic
Energy relative to the elements (meV per atom): -355
Energy (eV/atom): -28.14
Calculated density (Mg/m³): 7.667

Entry 8:
Entry from Alexandria via LeMat-Bulk: a crystal of Nd3Si6Pd20 relaxed with PBEsol (SCAN).

a = 8.637 Å, b = 8.637 Å, c = 8.637 Å
α = 60.00°, β = 60.00°, γ = 60.00°
Element x y z (fractional)
Nd: 0.250 0.250 0.250
Nd: 0.750 0.750 0.750
Nd: 0.000 0.000 0.000
Si: 0.733 0.267 0.267
Si: 0.267 0.733 0.733
Si: 0.733 0.267 0.733
Si: 0.267 0.733 0.267
Si: 0.733 0.733 0.267
Si: 0.267 0.267 0.733
Pd: 0.653 0.000 0.000
Pd: 0.347 0.000 0.000
Pd: 0.000 0.653 0.347
Pd: 0.000 0.347 0.653
Pd: 0.653 0.000 0.347
Pd: 0.000 0.347 0.000
Pd: 0.347 0.000 0.653
Pd: 0.000 0.653 0.000
Pd: 0.653 0.347 0.000
Pd: 0.347 0.653 0.000
Pd: 0.000 0.000 0.347
Pd: 0.000 0.000 0.653
Pd: 0.845 0.385 0.385
Pd: 0.155 0.615 0.615
Pd: 0.385 0.845 0.385
Pd: 0.385 0.385 0.845
Pd: 0.615 0.155 0.615
Pd: 0.615 0.615 0.155
Pd: 0.385 0.385 0.385
Pd: 0.615 0.615 0.615

Properties
Formation energy without anion corrections (eV per atom): -0.874
Crystal system: cubic
Energy (eV/atom): -30.06
Calculated density (Mg/m³): 9.950

Entry 9:
Entry from Alexandria via LeMat-Bulk: a crystal of ZrHg2Pb relaxed with PBEsol (SCAN).

a = 4.336 Å, b = 4.336 Å, c = 4.665 Å
α = 90.00°, β = 90.00°, γ = 90.00°
Element x y z (fractional)
Pb: 0.500 0.500 0.500
Hg: 0.000 0.500 0.000
Hg: 0.500 0.000 0.000
Zr: 0.000 0.000 0.500

Properties
Crystal system: tetragonal
Energy relative to the elements (meV per atom): -168
Energy (eV/atom): -60.87
Calculated density (Mg/m³): 13.247

Entry 10:
Entry from Alexandria via LeMat-Bulk: a crystal of CrTcCl2 relaxed with PBEsol (SCAN).

a = 3.019 Å, b = 3.019 Å, c = 8.235 Å
α = 79.44°, β = 79.44°, γ = 60.00°
Last column: magnetic moment on the atom in μB.
Element x y z (fractional)
Cr: 0.000 0.000 0.000  3.77
Tc: 0.500 0.500 0.500  -0.11
Cl: 0.906 0.906 0.281  -0.02
Cl: 0.094 0.094 0.719  -0.02

Properties
Formation energy without anion corrections (eV per atom): 0.327
Crystal system: trigonal
Energy (eV/atom): -17.02
Calculated density (Mg/m³): 5.775

Entry 11:
Entry from Alexandria via LeMat-Bulk: a crystal of LiIn2AsCl relaxed with PBEsol (SCAN).

a = 4.312 Å, b = 5.267 Å, c = 5.267 Å
α = 90.00°, β = 90.00°, γ = 90.00°
Element x y z (fractional)
As: 0.500 0.000 0.000
Cl: 0.500 0.500 0.500
Li: 0.000 0.000 0.000
In: 0.000 0.000 0.500
In: 0.000 0.500 0.000

Properties
Formation energy without anion corrections (eV per atom): -0.091
Crystal system: tetragonal
Energy (eV/atom): -19.56
Calculated density (Mg/m³): 4.816

Entry 12:
Entry from Alexandria via LeMat-Bulk: a crystal of BaAlCdF7 relaxed with PBEsol (SCAN).

a = 5.267 Å, b = 7.396 Å, c = 14.794 Å
α = 91.91°, β = 90.00°, γ = 110.86°
Element x y z (fractional)
Ba: 0.338 0.616 0.877
Ba: 0.662 0.384 0.123
Ba: 0.722 0.384 0.623
Ba: 0.278 0.616 0.377
Al: 0.609 0.245 0.876
Al: 0.391 0.755 0.124
Al: 0.364 0.755 0.624
Al: 0.636 0.245 0.376
Cd: 0.000 0.000 0.500
Cd: 0.000 0.000 0.000
Cd: 0.047 0.000 0.750
Cd: 0.953 0.000 0.250
F: 0.565 0.823 0.523
F: 0.435 0.177 0.477
F: 0.742 0.177 0.977
F: 0.258 0.823 0.023
F: 0.301 0.505 0.593
F: 0.699 0.495 0.407
F: 0.796 0.495 0.907
F: 0.204 0.505 0.093
F: 0.449 0.322 0.781
F: 0.551 0.678 0.219
F: 0.128 0.678 0.719
F: 0.872 0.322 0.281
F: 0.395 0.001 0.652
F: 0.605 0.999 0.348
F: 0.394 0.999 0.848
F: 0.606 0.001 0.152
F: 0.642 0.758 0.695
F: 0.358 0.242 0.305
F: 0.884 0.242 0.805
F: 0.116 0.758 0.195
F: 0.336 0.271 0.949
F: 0.664 0.729 0.051
F: 0.066 0.729 0.551
F: 0.934 0.271 0.449
F: 0.161 0.137 0.129
F: 0.839 0.863 0.871
F: 0.024 0.863 0.371
F: 0.976 0.137 0.629

Properties
Formation energy without anion corrections (eV per atom): -3.534
Crystal system: monoclinic
Energy (eV/atom): -13.78
Calculated density (Mg/m³): 5.057

Entry 13:
Entry from Alexandria via LeMat-Bulk: a crystal of BaCuCl relaxed with PBEsol (SCAN).

a = 5.179 Å, b = 5.179 Å, c = 5.179 Å
α = 60.00°, β = 60.00°, γ = 60.00°
Element x y z (fractional)
Ba: 0.250 0.250 0.250
Cu: 0.500 0.500 0.500
Cl: 0.000 0.000 0.000

Properties
Formation energy without anion corrections (eV per atom): -0.940
Crystal system: cubic
Energy (eV/atom): -21.85
Calculated density (Mg/m³): 3.996

Entry 14:
Entry from Alexandria via LeMat-Bulk: a crystal of MgBe4Os relaxed with PBEsol (SCAN).

a = 4.403 Å, b = 4.403 Å, c = 4.403 Å
α = 60.00°, β = 60.00°, γ = 60.00°
Element x y z (fractional)
Be: 0.372 0.372 0.372
Be: 0.372 0.372 0.884
Be: 0.884 0.372 0.372
Be: 0.372 0.884 0.372
Mg: 0.750 0.750 0.750
Os: 0.000 0.000 0.000

Properties
Crystal system: cubic
Energy relative to the elements (meV per atom): -160
Energy (eV/atom): -15.87
Calculated density (Mg/m³): 6.893

Entry 15:
Entry from Alexandria via LeMat-Bulk: a crystal of MnRu2Pb relaxed with PBEsol (SCAN).

a = 2.928 Å, b = 2.928 Å, c = 8.650 Å
α = 80.26°, β = 80.26°, γ = 60.00°
Last column: magnetic moment on the atom in μB.
Element x y z (fractional)
Mn: 0.500 0.500 0.500  3.25
Pb: 0.000 0.000 0.000  -0.01
Ru: 0.240 0.240 0.281  -0.19
Ru: 0.760 0.760 0.719  -0.19

Properties
Crystal system: trigonal
Energy relative to the elements (meV per atom): 485
Energy (eV/atom): -40.44
Calculated density (Mg/m³): 12.242

Entry 16:
Entry from Alexandria via LeMat-Bulk: a crystal of YPt2 relaxed with PBEsol (SCAN).

a = 4.209 Å, b = 5.733 Å, c = 8.930 Å
α = 90.00°, β = 90.00°, γ = 90.00°
Element x y z (fractional)
Pt: 0.750 0.883 0.759
Pt: 0.750 0.866 0.426
Pt: 0.250 0.634 0.926
Pt: 0.250 0.617 0.259
Pt: 0.750 0.383 0.741
Pt: 0.750 0.366 0.074
Pt: 0.250 0.134 0.574
Pt: 0.250 0.117 0.241
Y: 0.750 0.852 0.107
Y: 0.250 0.648 0.607
Y: 0.750 0.352 0.393
Y: 0.250 0.148 0.893

Properties
Crystal system: orthorhombic
Energy relative to the elements (meV per atom): -1154
Energy (eV/atom): -57.23
Calculated density (Mg/m³): 14.768

Entry 17:
Entry from Alexandria via LeMat-Bulk: a crystal of Sr2AlHI relaxed with PBEsol (SCAN).

a = 3.868 Å, b = 5.799 Å, c = 5.799 Å
α = 90.00°, β = 90.00°, γ = 90.00°
Element x y z (fractional)
I: 0.500 0.500 0.500
Sr: 0.000 0.000 0.500
Sr: 0.000 0.500 0.000
Al: 0.500 0.000 0.000
H: 0.000 0.000 0.000

Properties
Crystal system: tetragonal
Energy (eV/atom): -18.96
Calculated density (Mg/m³): 4.215

Entry 18:
Entry from Alexandria via LeMat-Bulk: a crystal of Zn2FeP2H8O12 relaxed with PBEsol (SCAN).

a = 5.020 Å, b = 10.259 Å, c = 10.439 Å
α = 118.98°, β = 90.00°, γ = 90.00°
Last column: magnetic moment on the atom in μB.
Element x y z (fractional)
Zn: 0.803 0.644 0.145  0.00
Zn: 0.303 0.856 0.355  0.00
Zn: 0.197 0.356 0.855  0.00
Zn: 0.697 0.144 0.645  0.00
Fe: 0.500 0.500 0.500  3.69
Fe: 0.000 0.000 0.000  3.69
P: 0.781 0.003 0.311  0.00
P: 0.281 0.497 0.189  0.00
P: 0.219 0.997 0.689  0.00
P: 0.719 0.503 0.811  0.00
H: 0.791 0.248 0.304  0.00
H: 0.291 0.252 0.196  0.00
H: 0.209 0.752 0.696  0.00
H: 0.709 0.748 0.804  0.00
H: 0.963 0.397 0.341  0.00
H: 0.463 0.103 0.159  0.00
H: 0.037 0.603 0.659  0.00
H: 0.537 0.897 0.841  0.00
H: 0.889 0.269 0.031  0.00
H: 0.389 0.231 0.469  0.00
H: 0.111 0.731 0.969  0.00
H: 0.611 0.769 0.531  0.00
H: 0.609 0.183 0.028  0.00
H: 0.109 0.317 0.472  0.00
H: 0.391 0.817 0.972  0.00
H: 0.891 0.683 0.528  0.00
O: 0.821 0.355 0.380  0.03
O: 0.321 0.145 0.120  0.03
O: 0.179 0.645 0.620  0.03
O: 0.679 0.855 0.880  0.03
O: 0.797 0.170 0.995  0.04
O: 0.297 0.330 0.505  0.04
O: 0.203 0.830 0.005  0.04
O: 0.703 0.670 0.495  0.04
O: 0.753 0.057 0.197  0.03
O: 0.253 0.443 0.303  0.03
O: 0.247 0.943 0.803  0.03
O: 0.747 0.557 0.697  0.03
O: 0.573 0.502 0.152  0.00
O: 0.073 0.998 0.348  0.00
O: 0.427 0.498 0.848  0.00
O: 0.927 0.002 0.652  0.00
O: 0.619 0.110 0.449  0.00
O: 0.119 0.390 0.051  0.00
O: 0.381 0.890 0.551  0.00
O: 0.881 0.610 0.949  0.00
O: 0.647 0.845 0.254  0.00
O: 0.147 0.655 0.246  0.00
O: 0.353 0.155 0.746  0.00
O: 0.853 0.345 0.754  0.00

Properties
Crystal system: monoclinic
Energy (eV/atom): -8.35
Calculated density (Mg/m³): 3.168

Entry 19:
Entry from Alexandria via LeMat-Bulk: a crystal of ScFeTc2 relaxed with PBEsol (SCAN).

a = 2.732 Å, b = 4.351 Å, c = 4.895 Å
α = 90.00°, β = 99.55°, γ = 90.00°
Last column: magnetic moment on the atom in μB.
Element x y z (fractional)
Fe: 0.500 0.500 0.000  2.64
Sc: 0.000 0.500 0.500  -0.20
Tc: 0.720 0.000 0.755  -0.02
Tc: 0.280 0.000 0.245  -0.02

Properties
Crystal system: monoclinic
Energy relative to the elements (meV per atom): 50
Energy (eV/atom): -25.57
Calculated density (Mg/m³): 8.590

Entry 20:
Entry from Alexandria via LeMat-Bulk: a crystal of SbPb2Au relaxed with PBEsol (SCAN).

a = 3.667 Å, b = 3.667 Å, c = 7.620 Å
α = 90.00°, β = 90.00°, γ = 90.00°
Element x y z (fractional)
Pb: 0.000 0.000 0.955
Pb: 0.500 0.500 0.276
Sb: 0.000 0.000 0.539
Au: 0.500 0.500 0.730

Properties
Formation energy without anion corrections (eV per atom): 0.056
Crystal system: tetragonal
Energy (eV/atom): -64.44
Calculated density (Mg/m³): 11.878